Computed, not measured: a relaxed structure of ZnHSeN2 at the GGA-PBE level of DFT.

Uncorrected energy in eV for the cell shown: -15.5
N(E_F) in states/eV per cell: 2.376

Lattice parameters (Å, degrees): 3.977 3.977 3.275 90.00 90.00 90.00
Site moments in Bohr magnetons follow the coordinates.
Fractional coordinates of all 5 atoms:
N 0.500 0.000 0.000  0.17
N 0.000 0.500 0.000  0.17
Zn 0.500 0.500 0.500  -0.01
Se 0.000 0.000 0.500  0.01
H 0.000 0.000 0.000  0.00


Computed, not measured: a relaxed structure of ZnReIr2F at the GGA-PBE level of DFT.

Uncorrected energy in eV for the cell shown: -27.1
N(E_F) in states/eV per cell: 5.821

Lattice parameters (Å, degrees): 4.432 3.895 4.432 90.00 90.00 90.00
Site moments in Bohr magnetons follow the coordinates.
Fractional coordinates of all 5 atoms:
Re 0.000 0.500 0.000  0.73
F 0.000 0.000 0.000  0.02
Ir 0.000 0.000 0.500  0.20
Ir 0.500 0.000 0.000  0.22
Zn 0.500 0.500 0.500  -0.01